The following is a PBE calculation of a relaxed Ac2NdYEr crystal, from Alexandria via LeMat-Bulk.

The space group is Pmma (No. 51) and the conventional cell measures 6.463, 8.949 and 6.729 Å, with angles of 90.00, 90.00 and 90.00 degrees. Symmetry generates all atoms from Ac at (0.250, 0.204, 0.212), Nd at (0.250, 0.500, 0.918), Y at (0.250, 0.000, 0.685) and Er at (0.000, 0.500, 0.500).

The calculation puts the raw total energy at -4.541 eV per atom. The total magnetization comes out at 0.00 μB per formula unit.

=====

The following is a PBE calculation of a relaxed TmPuTe crystal, from Alexandria via LeMat-Bulk.

The space group is I4mm (No. 107) and the conventional cell measures 3.848, 3.848 and 11.389 Å, with angles of 90.00, 90.00 and 90.00 degrees. Symmetry generates all atoms from Tm at (0.000, 0.000, 0.000), Pu at (0.000, 0.000, 0.693) and Te at (0.000, 0.000, 0.359).

The calculation puts the raw total energy at -7.853 eV per atom. For the raw formation energy, the calculation gives -0.538 eV/atom. The total magnetization comes out at 6.41 μB per formula unit. The relative energy among the computed polymorphs is 164.7 meV per atom.

=====

The following is a PBE calculation of a relaxed TaTcRh2 crystal, from Alexandria via LeMat-Bulk.

The space group is P4/mmm (No. 123) and the conventional cell measures 3.354, 3.354 and 5.496 Å, with angles of 90.00, 90.00 and 90.00 degrees. Symmetry generates all atoms from Ta at (0.000, 0.000, 0.000), Tc at (0.000, 0.000, 0.500) and Rh at (0.500, 0.500, 0.254).

The calculation puts the raw total energy at -9.335 eV per atom. The total magnetization comes out at 0.57 μB per formula unit. The relative energy among the computed polymorphs is 299.2 meV per atom.

=====

Short version: V = 389, 169, 62 Å³/cell, in the order given.